Compound: SrCaAcLa
Source: Alexandria
Functional: PBE
Structure: relaxed

Unit cell a=6.2826 b=6.2826 c=6.2826 alpha=60.00 beta=60.00 gamma=60.00
Closest atoms and distances in Å follow each position.
Element x y z (fractional)
Sr 0.0000 0.0000 0.0000  4 Ca 3.85, 4 Ac 3.85
Ca 0.7500 0.7500 0.7500  4 Sr 3.85, 4 La 3.85
Ac 0.2500 0.2500 0.2500  4 La 3.85, 4 Sr 3.85
La 0.5000 0.5000 0.5000  4 Ca 3.85, 4 Ac 3.85

## Properties
Excess energy over the best structure of this formula in the dataset in meV/atom: 82
Symmetry: F-43m, No. 216
Energy of formation in meV per atom: 113
M_tot in μB/atom: 0.00
VASP energy in eV/atom: -3.07